Record 1
Computed, not measured: a geometry-optimized Cs2GaHg2 structure at the PBEsol level of DFT.

The structure in POSCAR format:
```
Cs2GaHg2
1.0
-3.582 3.582 4.169
3.582 -3.582 4.169
3.582 3.582 -4.169
Cs Ga Hg
2 1 2
direct
0.250 0.750 0.500
0.750 0.250 0.500
0.000 0.000 0.000
0.327 0.327 0.000
0.673 0.673 0.000
```

Summary:
Crystal system: tetragonal
Space group: I4/mmm, No. 139
Total DFT energy (no corrections), eV/cell: -6.25

---

Record 2
Computed, not measured: a geometry-optimized SnSeCl2O structure at the PBEsol level of DFT.

The structure in POSCAR format:
```
SnSeCl2O
1.0
5.419 0.000 0.000
0.000 5.419 0.000
0.000 0.000 3.709
Sn Se Cl O
1 1 2 1
direct
0.000 0.000 0.000
0.500 0.500 0.500
0.000 0.500 0.500
0.500 0.000 0.500
0.500 0.500 0.000
```

Summary:
Crystal system: tetragonal
Space group: P4/mmm, No. 123
Total DFT energy (no corrections), eV/cell: -18.36

---

Record 3
Computed, not measured: a geometry-optimized Li2GaPd2 structure at the PBEsol level of DFT.

The structure in POSCAR format:
```
Li2GaPd2
1.0
6.294 0.000 0.000
0.000 6.294 0.000
0.000 0.000 3.905
Li Ga Pd
4 2 4
direct
0.158 0.342 0.000
0.342 0.842 0.000
0.658 0.158 0.000
0.842 0.658 0.000
0.000 0.000 0.500
0.500 0.500 0.500
0.147 0.647 0.500
0.353 0.147 0.500
0.647 0.853 0.500
0.853 0.353 0.500
```

Summary:
Crystal system: tetragonal
Space group: P4/mbm, No. 127
Relative energy among the computed polymorphs, meV per atom: 0

---

Record 4
Computed, not measured: a geometry-optimized TaTiP3O12 structure at the PBEsol level of DFT.

The structure in POSCAR format:
```
TaTiP3O12
1.0
4.315 2.491 7.376
-4.315 2.491 7.376
0.000 -4.982 7.376
Ta Ti P O
2 2 6 24
direct
0.000 0.000 0.000
0.500 0.500 0.500
0.283 0.283 0.283
0.783 0.783 0.783
0.105 0.397 0.668
0.168 0.897 0.605
0.397 0.668 0.105
0.605 0.168 0.897
0.668 0.105 0.397
0.897 0.605 0.168
0.070 0.431 0.200
0.077 0.221 0.847
0.137 0.369 0.498
0.143 0.917 0.780
0.200 0.070 0.431
0.221 0.847 0.077
0.280 0.417 0.643
0.347 0.721 0.577
0.369 0.498 0.137
0.417 0.643 0.280
0.431 0.200 0.070
0.498 0.137 0.369
0.570 0.700 0.931
0.577 0.347 0.721
0.637 0.998 0.869
0.643 0.280 0.417
0.700 0.931 0.570
0.721 0.577 0.347
0.780 0.143 0.917
0.847 0.077 0.221
0.869 0.637 0.998
0.917 0.780 0.143
0.931 0.570 0.700
0.998 0.869 0.637
```

Summary:
Crystal system: trigonal
Space group: R3c, No. 161
Total DFT energy (no corrections), eV/cell: -289.60

---

Record 5
Computed, not measured: a geometry-optimized NiHgBr structure at the PBEsol level of DFT.

The structure in POSCAR format:
```
NiHgBr
1.0
0.000 3.118 3.118
3.118 0.000 3.118
3.118 3.118 0.000
Ni Hg Br
1 1 1
direct
0.000 0.000 0.000
0.250 0.250 0.250
0.750 0.750 0.750
```

Summary:
Crystal system: cubic
Space group: F-43m, No. 216
Total DFT energy (no corrections), eV/cell: -7.73

---

Record 6
Computed, not measured: a geometry-optimized LaReSb2 structure at the PBEsol level of DFT.

The structure in POSCAR format:
```
LaReSb2
1.0
4.584 0.000 0.000
0.000 4.584 0.000
0.000 0.000 4.291
La Re Sb
1 1 2
direct
0.000 0.000 0.000
0.500 0.500 0.000
0.000 0.500 0.500
0.500 0.000 0.500
```

Summary:
Crystal system: tetragonal
Space group: P4/mmm, No. 123
Relative energy among the computed polymorphs, meV per atom: 216

---

Record 7
Computed, not measured: a geometry-optimized TiBH2 structure at the PBEsol level of DFT.

The structure in POSCAR format:
```
TiBH2
1.0
-1.608 1.608 5.338
1.608 -1.608 5.338
1.608 1.608 -5.338
Ti B H
2 2 4
direct
0.000 0.000 0.000
0.750 0.250 0.500
0.250 0.750 0.500
0.500 0.500 0.000
0.247 0.625 0.122
0.375 0.497 0.622
0.503 0.125 0.878
0.875 0.753 0.378
```

Summary:
Crystal system: tetragonal
Space group: I-42d, No. 122
Total DFT energy (no corrections), eV/cell: -43.00

---

Record 8
Computed, not measured: a geometry-optimized NiSbAu3 structure at the PBEsol level of DFT.

The structure in POSCAR format:
```
NiSbAu3
1.0
4.672 0.000 0.000
0.000 4.672 0.000
0.000 0.000 4.672
Ni Sb Au
1 1 3
direct
0.000 0.000 0.000
0.500 0.500 0.500
0.000 0.000 0.500
0.000 0.500 0.000
0.500 0.000 0.000
```

Summary:
Crystal system: cubic
Space group: Pm-3m, No. 221
Total DFT energy (no corrections), eV/cell: -19.47